(1)
This record from the Alexandria database describes MgRuBr2 after structural relaxation. The functional is GGA-PBE.

Unit cell a=3.4781 b=3.4781 c=7.6166 alpha=90.00 beta=90.00 gamma=90.00
Last column: nearest neighbours and their distance in Å.
Space group P4mm (No. 99)
Inequivalent atoms, fractional coordinates:
1 Mg 0.0000 0.0000 0.0000  4 Ru 2.79, 5 Br 2.83
2 Ru 0.5000 0.5000 0.1717  5 Br 2.70-2.89, 4 Mg 2.79
3 Br 0.0000 0.0000 0.3711  1 Mg 2.83, 4 Ru 2.89
4 Br 0.5000 0.5000 0.8174  1 Ru 2.70, 4 Mg 2.83

V ... 92.1 Å³/cell
Relative energy among the computed polymorphs ... 0.76 eV/f.u.
Uncorrected formation energy ... -70.8 meV/atom
ρ ... 5.14 g cm⁻³
Size of the total moment ... 2.01 μB per formula unit

***

(2)
This record from the Alexandria database describes MgRuBr2 after structural relaxation. The functional is GGA-PBE.

Unit cell a=7.0578 b=7.0578 c=7.0578 alpha=90.00 beta=90.00 gamma=90.00
Last column: nearest neighbours and their distance in Å.
Space group F-43m (No. 216)
Inequivalent atoms, fractional coordinates:
1 Mg 0.0000 0.0000 0.0000  4 Br 3.06, 4 Ru 3.06
2 Ru 0.2500 0.2500 0.2500  4 Br 3.06, 4 Mg 3.06
3 Br 0.0000 0.0000 0.5000  4 Br 3.06, 4 Ru 3.06
4 Br 0.2500 0.2500 0.7500  4 Mg 3.06, 4 Br 3.06

V ... 351.6 Å³/cell
Relative energy among the computed polymorphs ... 3.43 eV/f.u.
Uncorrected formation energy ... 596.5 meV/atom
ρ ... 5.39 g cm⁻³
Size of the total moment ... 2.16 μB per formula unit

***

(3)
This record from the Alexandria database describes MgRuBr2 after structural relaxation. The functional is GGA-PBE.

Unit cell a=4.7077 b=4.7077 c=3.3693 alpha=90.00 beta=90.00 gamma=90.00
Last column: nearest neighbours and their distance in Å.
Space group P4/mmm (No. 123)
Inequivalent atoms, fractional coordinates:
1 Mg 0.0000 0.0000 0.0000  8 Br 2.89
2 Ru 0.5000 0.5000 0.0000  8 Br 2.89
3 Br 0.0000 0.5000 0.5000  4 Ru 2.89, 4 Mg 2.89

V ... 74.7 Å³/cell
Relative energy among the computed polymorphs ... 2.24 eV/f.u.
Uncorrected formation energy ... 301.3 meV/atom
ρ ... 6.34 g cm⁻³
Size of the total moment ... 0.00 μB per formula unit

***

(4)
This record from the Alexandria database describes Mg2RuBr2 after structural relaxation. The functional is GGA-PBE.

Unit cell a=5.3617 b=5.3617 c=7.8264 alpha=90.00 beta=90.00 gamma=90.00
Last column: nearest neighbours and their distance in Å.
Space group I4/mmm (No. 139)
Inequivalent atoms, fractional coordinates:
1 Mg 0.0000 0.5000 0.2500  4 Br 2.72
2 Ru 0.0000 0.0000 0.0000  2 Br 2.42
3 Br 0.0000 0.0000 0.3087  1 Ru 2.42

V ... 225.0 Å³/cell
Relative energy among the computed polymorphs ... 0.00 eV/f.u.
Uncorrected formation energy ... 122.2 meV/atom
ρ ... 4.57 g cm⁻³
Size of the total moment ... 0.00 μB per formula unit